A plane-wave DFT calculation with GGA-PBE was carried out for an optimized crystal structure of Pm3AlCl3.

## Properties
The value obtained for the total energy is -4.790 eV per atom. For the density of states at the Fermi level, the calculation gives 1.88 states/eV/f.u. The calculation puts the density at 4.8 Mg/m³. The formation energy from raw total energies comes out at -1.4277 eV/atom. The space group is Pm-3m.

a = 5.828 Å, b = 5.828 Å, c = 5.828 Å
α = 90.00°, β = 90.00°, γ = 90.00°
Fractional coordinates of all 7 atoms:
Cl  0.000  0.000  0.500
Cl  0.500  0.000  0.000
Cl  0.000  0.500  0.000
Pm  0.500  0.000  0.500
Pm  0.500  0.500  0.000
Pm  0.000  0.500  0.500
Al  0.500  0.500  0.500

=====

A plane-wave DFT calculation with GGA-PBE was carried out for an optimized crystal structure of IrC2.

## Properties
For the formation energy, the calculation gives 2.133 eV/atom. The value obtained for the total energy is -6.970 eV per atom. For the density of states at the Fermi level, the calculation gives 2.38 states/eV/f.u. The calculation puts the density at 13.5 Mg/m³. The space group is P4/mmm.

a = 2.607 Å, b = 2.607 Å, c = 3.899 Å
α = 90.00°, β = 90.00°, γ = 90.00°
Fractional coordinates of all 3 atoms:
C  0.000  0.500  0.500
C  0.500  0.000  0.500
Ir  0.000  0.000  0.000

=====

A plane-wave DFT calculation with GGA-PBE was carried out for an optimized crystal structure of Zr5Sn2Sb2.

## Properties
The value obtained for the total energy is -7.137 eV per atom. For the density of states at the Fermi level, the calculation gives 4.32 states/eV/f.u. The calculation puts the density at 7.3 Mg/m³. The formation energy from raw total energies comes out at -0.5825 eV/atom. The space group is Cmce.

a = 7.616 Å, b = 7.703 Å, c = 8.187 Å
α = 118.06°, β = 90.00°, γ = 90.00°
Fractional coordinates of all 18 atoms:
Sb  0.639  0.860  0.000
Sb  0.139  0.640  0.000
Sb  0.361  0.140  0.000
Sb  0.861  0.360  0.000
Zr  0.662  0.293  0.270
Zr  0.000  0.000  0.000
Zr  0.338  0.707  0.730
Zr  0.162  0.477  0.270
Zr  0.662  0.023  0.730
Zr  0.500  0.500  0.000
Zr  0.838  0.793  0.270
Zr  0.838  0.523  0.730
Zr  0.338  0.977  0.270
Zr  0.162  0.207  0.730
Sn  0.500  0.296  0.593
Sn  0.500  0.704  0.407
Sn  0.000  0.796  0.593
Sn  0.000  0.204  0.407